This record from Alexandria describes an optimized crystal structure of BaRe2Rh. The functional is GGA-PBE.

Values from the calculation:
Magnetic moment: 0.000 μB per atom
Crystal system: tetragonal

abc: 2.833 2.833 9.533
angles: 90.00 90.00 90.00
Space group P4/mmm (No. 123)
One atom of each set of equivalent atoms:
Ba 0.000 0.000 0.000 [1 per cell]
Re 0.500 0.500 0.302 [2 per cell]
Rh 0.000 0.000 0.500 [1 per cell]

This record from Alexandria describes an optimized crystal structure of BaRe2Rh. The functional is GGA-PBE.

Values from the calculation:
Magnetic moment: 0.004 μB per atom
Crystal system: monoclinic

abc: 5.436 10.725 2.847
angles: 90.00 111.48 90.00
Space group C2/m (No. 12)
One atom of each set of equivalent atoms:
Ba 0.000 0.000 0.000 [2 per cell]
Re 0.250 0.250 0.500 [4 per cell]
Rh 0.000 0.500 0.000 [2 per cell]

This record from Alexandria describes an optimized crystal structure of BaRe2Rh. The functional is GGA-PBE.

Values from the calculation:
Magnetic moment: 0.000 μB per atom
Crystal system: tetragonal

abc: 3.178 3.178 8.062
angles: 90.00 90.00 90.00
Space group P4mm (No. 99)
One atom of each set of equivalent atoms:
Ba 0.000 0.000 0.000 [1 per cell]
Re 0.000 0.000 0.491 [1 per cell]
Re 0.500 0.500 0.333 [1 per cell]
Rh 0.500 0.500 0.689 [1 per cell]

This record from Alexandria describes an optimized crystal structure of BaRe2Rh. The functional is GGA-PBE.

Values from the calculation:
Magnetic moment: 0.000 μB per atom
Crystal system: cubic

abc: 6.649 6.649 6.649
angles: 90.00 90.00 90.00
Space group Fm-3m (No. 225)
One atom of each set of equivalent atoms:
Ba 0.000 0.000 0.000 [4 per cell]
Re 0.250 0.250 0.250 [8 per cell]
Rh 0.000 0.000 0.500 [4 per cell]

This record from Alexandria describes an optimized crystal structure of BaRe2Rh. The functional is GGA-PBE.

Values from the calculation:
Magnetic moment: 0.000 μB per atom
Crystal system: orthorhombic

abc: 2.920 4.826 5.521
angles: 90.00 90.00 90.00
Space group Pmmm (No. 47)
One atom of each set of equivalent atoms:
Ba 0.000 0.000 0.000 [1 per cell]
Re 0.000 0.500 0.500 [1 per cell]
Re 0.500 0.000 0.500 [1 per cell]
Rh 0.500 0.500 0.000 [1 per cell]

This record from Alexandria describes an optimized crystal structure of Ba2Re2Rh. The functional is GGA-PBE.

Values from the calculation:
Magnetic moment: 0.261 μB per atom
Crystal system: tetragonal

abc: 9.583 9.583 3.043
angles: 90.00 90.00 90.00
Space group P4/mbm (No. 127)
One atom of each set of equivalent atoms:
Ba 0.205 0.295 0.000 [4 per cell]
Re 0.082 0.582 0.500 [4 per cell]
Rh 0.000 0.000 0.000 [2 per cell]

This record from Alexandria describes an optimized crystal structure of BaRe2Rh. The functional is GGA-PBE.

Values from the calculation:
Magnetic moment: 0.006 μB per atom
Crystal system: orthorhombic

abc: 3.215 5.698 9.656
angles: 90.00 90.00 90.00
Space group Imm2 (No. 44)
One atom of each set of equivalent atoms:
Ba 0.000 0.000 0.000 [2 per cell]
Re 0.000 0.000 0.506 [2 per cell]
Re 0.000 0.500 0.188 [2 per cell]
Rh 0.000 0.500 0.794 [2 per cell]

This record from Alexandria describes an optimized crystal structure of Ba2ReRh. The functional is GGA-PBE.

Values from the calculation:
Magnetic moment: 0.654 μB per atom
Crystal system: orthorhombic

abc: 4.629 5.184 9.153
angles: 90.00 90.00 90.00
Space group Immm (No. 71)
One atom of each set of equivalent atoms:
Ba 0.000 0.000 0.233 [4 per cell]
Re 0.000 0.500 0.000 [2 per cell]
Rh 0.000 0.500 0.500 [2 per cell]

Formation energy from the elements across the listed records, respectively: 0.938 1.241 0.504 1.556 1.193 1.426 0.956 1.067 eV/atom.
E_tot across the listed records, respectively: -30.4 -58.4 -32.2 -111.8 -29.4 -57.9 -60.7 -38.8 eV for the cell shown.
Calculated density across the listed records, respectively: 13.293 13.172 12.496 13.845 13.077 8.914 11.501 8.524 g cm⁻³.